[1]
Below is a geometry-optimized La3Bi2Br structure, with properties calculated at the PBE-GGA level.

theoretical density = 7.30 g/cm³
VASP energy = -124.4 eV for the cell shown
energy relative to the elements, uncorrected = -1.147 eV/atom
magnetic moment = 0.00 μB/f.u.

Cell lengths 7.9773, 7.9773, 14.6267 Å; angles 100.42, 100.42, 109.70 degrees
Fractional positions:
La  0.1676  0.6662  0.8338
La  0.6662  0.1676  0.8338
La  0.0824  0.0838  0.6662
La  0.5838  0.5824  0.6662
La  0.0001  0.5001  0.5000
La  0.4999  0.9999  0.5000
La  0.4176  0.4162  0.3338
La  0.9162  0.9176  0.3338
La  0.8324  0.3338  0.1662
La  0.3338  0.8324  0.1662
La  0.2499  0.2499  0.0000
La  0.7501  0.7501  0.0000
Bi  0.9997  0.4997  0.9994
Bi  0.4167  0.4167  0.8334
Bi  0.8333  0.3333  0.6666
Bi  0.2503  0.2503  0.5006
Bi  0.7497  0.7497  0.4994
Bi  0.6667  0.1667  0.3334
Bi  0.5833  0.5833  0.1666
Bi  0.5003  0.0003  0.0006
Br  0.9166  0.9166  0.8331
Br  0.3334  0.8334  0.6669
Br  0.1666  0.6666  0.3331
Br  0.0834  0.0834  0.1669

=====

[2]
Below is a geometry-optimized Ba2VHgPb structure, with properties calculated at the PBE-GGA level.

theoretical density = 4.74 g/cm³
VASP energy = -12.2 eV for the cell shown
magnetic moment = 0.63 μB/f.u.
DFT formation energy = 0.952 eV per atom

Cell lengths 6.7660, 5.6173, 6.7660 Å; angles 90.00, 90.00, 90.00 degrees
Fractional positions:
Pb  0.0000  0.0000  0.0000
V  0.5000  0.5000  0.5000
Hg  0.0000  0.5000  0.0000
Ba  0.0000  0.0000  0.5000
Ba  0.5000  0.0000  0.0000

=====

[3]
Below is a geometry-optimized AcErIn4 structure, with properties calculated at the PBE-GGA level.

offset from the most stable computed form = 0 meV/atom
theoretical density = 8.39 g/cm³
VASP energy = -22.1 eV for the cell shown
magnetic moment = 0.00 μB/f.u.
DFT formation energy = -0.413 eV per atom

Cell lengths 5.1101, 5.1101, 7.4699 Å; angles 90.00, 90.00, 120.00 degrees
Fractional positions:
Ac  0.0000  0.0000  0.5000
Er  0.0000  0.0000  0.0000
In  0.3333  0.6667  0.2186
In  0.3333  0.6667  0.7814
In  0.6667  0.3333  0.2186
In  0.6667  0.3333  0.7814

=====

[4]
Below is a geometry-optimized Na12Ag3Br5 structure, with properties calculated at the PBE-GGA level.

theoretical density = 2.42 g/cm³
VASP energy = -181.8 eV for the cell shown
energy relative to the elements, uncorrected = -0.636 eV/atom
magnetic moment = 0.00 μB/f.u.

Cell lengths 15.2809, 15.2809, 15.2809 Å; angles 109.47, 109.47, 109.47 degrees
Fractional positions:
Ag  0.7500  0.3750  0.1250
Ag  0.8750  0.7500  0.1250
Ag  0.3750  0.7500  0.6250
Ag  0.2500  0.1250  0.3750
Ag  0.8750  0.1250  0.2500
Ag  0.3750  0.6250  0.2500
Ag  0.6250  0.3750  0.7500
Ag  0.1250  0.8750  0.7500
Ag  0.7500  0.8750  0.6250
Ag  0.6250  0.2500  0.3750
Ag  0.1250  0.2500  0.8750
Ag  0.2500  0.6250  0.8750
Br  0.1250  0.3750  0.2500
Br  0.0000  0.5000  0.0000
Br  0.0000  0.0000  0.0000
Br  0.3750  0.2500  0.1250
Br  0.5000  0.0000  0.5000
Br  0.5000  0.5000  0.0000
Br  0.1250  0.7500  0.3750
Br  0.7500  0.1250  0.8750
Br  0.7500  0.6250  0.3750
Br  0.3750  0.1250  0.7500
Br  0.6250  0.8750  0.2500
Br  0.5000  0.5000  0.5000
Br  0.5000  0.0000  0.0000
Br  0.0000  0.0000  0.5000
Br  0.2500  0.3750  0.6250
Br  0.2500  0.8750  0.1250
Br  0.0000  0.5000  0.5000
Br  0.8750  0.2500  0.6250
Br  0.6250  0.7500  0.8750
Br  0.8750  0.6250  0.7500
Na  0.7224  0.1397  0.0544
Na  0.3320  0.5544  0.4147
Na  0.9456  0.3603  0.2776
Na  0.5544  0.2224  0.1397
Na  0.5826  0.7224  0.6680
Na  0.9456  0.5853  0.1680
Na  0.3320  0.7776  0.4174
Na  0.0853  0.9174  0.1397
Na  0.5853  0.9456  0.6680
Na  0.7224  0.5826  0.1680
Na  0.7776  0.4456  0.3603
Na  0.8320  0.9147  0.0544
Na  0.1397  0.7224  0.5544
Na  0.3603  0.4147  0.0826
Na  0.0826  0.9147  0.3603
Na  0.4174  0.1397  0.5853
Na  0.0826  0.1680  0.2224
Na  0.4456  0.6680  0.0853
Na  0.8320  0.9174  0.2776
Na  0.1397  0.4174  0.0853
Na  0.3603  0.9456  0.7776
Na  0.5853  0.6397  0.4174
Na  0.9147  0.8320  0.5544
Na  0.7776  0.3320  0.9174
Na  0.4147  0.3603  0.5826
Na  0.0853  0.1680  0.4456
Na  0.2224  0.6680  0.0826
Na  0.1680  0.0826  0.7224
Na  0.6397  0.0544  0.2224
Na  0.8603  0.5826  0.9147
Na  0.5544  0.3320  0.9147
Na  0.5826  0.8603  0.4147
Na  0.9174  0.8320  0.7776
Na  0.9174  0.0853  0.6397
Na  0.8603  0.2776  0.4456
Na  0.1680  0.0853  0.9456
Na  0.6397  0.5853  0.9174
Na  0.4147  0.0544  0.3320
Na  0.2776  0.4174  0.8320
Na  0.2224  0.5544  0.6397
Na  0.9147  0.0826  0.8603
Na  0.6680  0.2224  0.5826
Na  0.4456  0.7776  0.8603
Na  0.0544  0.4147  0.8320
Na  0.4174  0.2776  0.3320
Na  0.0544  0.6397  0.7224
Na  0.6680  0.4456  0.5853
Na  0.2776  0.8603  0.9456

=====

[5]
Below is a geometry-optimized AcCeGa4 structure, with properties calculated at the PBE-GGA level.

offset from the most stable computed form = 0 meV/atom
theoretical density = 7.41 g/cm³
VASP energy = -25.8 eV for the cell shown
magnetic moment = 0.55 μB/f.u.
DFT formation energy = -0.617 eV per atom

Cell lengths 4.3312, 4.3312, 8.9069 Å; angles 90.00, 90.00, 120.00 degrees
Fractional positions:
Ac  0.0000  0.0000  0.5000
Ce  0.0000  0.0000  0.0000
Ga  0.3333  0.6667  0.2291
Ga  0.3333  0.6667  0.7709
Ga  0.6667  0.3333  0.2291
Ga  0.6667  0.3333  0.7709

=====

[6]
Below is a geometry-optimized RbPuGe2 structure, with properties calculated at the PBE-GGA level.

offset from the most stable computed form = 0 meV/atom
theoretical density = 7.53 g/cm³
VASP energy = -24.8 eV for the cell shown
magnetic moment = 5.10 μB/f.u.
DFT formation energy = -0.077 eV per atom

Cell lengths 3.3187, 3.3187, 9.5017 Å; angles 90.00, 90.00, 90.00 degrees
Fractional positions:
Ge  0.0000  0.0000  0.7878
Ge  0.0000  0.0000  0.2122
Rb  0.5000  0.5000  0.5000
Pu  0.5000  0.5000  0.0000

=====

- What is the magnetic moment in the fourth record?
  0.00 μB/f.u.